4
Lattice="-1.9676 -3.3279 2.5219 2.6023 -2.7004 2.6912 -0.2268 0.4126 4.5918" Properties=species:S:1:pos:R:3 comment="LuCdCoPd, relaxed, DFT PBE" spacegroup="F-43m (216)" total_magnetization_mub_per_atom=0.004 formation_energy_ev_per_atom=-0.34 pbc="T T T"
Pd 0.2039 -2.8079 4.9024
Co 0.0000 0.0000 0.0000
Cd 0.3059 -4.2118 7.3537
Lu 0.1020 -1.4039 2.4512